Entry 1:
# PmNd5Tl3

A relaxed PmNd5Tl3 crystal (PBE-GGA, Alexandria).

a b c (Å): 9.660 9.660 6.945
angles (deg): 90.00 90.00 120.00
Element x y z (fractional)
Pm 0.000 0.000 0.000
Pm 0.000 0.000 0.500
Nd 0.000 0.335 0.250
Nd 0.000 0.665 0.750
Nd 0.333 0.667 0.000
Nd 0.333 0.667 0.500
Nd 0.335 0.000 0.250
Nd 0.335 0.335 0.750
Nd 0.665 0.000 0.750
Nd 0.665 0.665 0.250
Nd 0.667 0.333 0.000
Nd 0.667 0.333 0.500
Tl 0.000 0.331 0.750
Tl 0.000 0.669 0.250
Tl 0.331 0.000 0.750
Tl 0.331 0.331 0.250
Tl 0.669 0.000 0.250
Tl 0.669 0.669 0.750

Results
The calculation puts the total magnetization at 2.0 μB per formula unit. For the calculated formation energy, the calculation gives -0.27 eV/atom.

=====

Entry 2:
# Pm4Nd2Tl

A relaxed Pm4Nd2Tl crystal (PBE-GGA, Alexandria).

a b c (Å): 6.432 10.937 6.662
angles (deg): 90.00 90.00 90.00
Element x y z (fractional)
Pm 0.070 0.154 0.002
Pm 0.070 0.346 0.502
Pm 0.398 0.750 0.250
Pm 0.398 0.750 0.750
Pm 0.602 0.250 0.250
Pm 0.602 0.250 0.750
Pm 0.930 0.654 0.498
Pm 0.930 0.846 0.998
Nd 0.244 0.041 0.502
Nd 0.244 0.459 0.002
Nd 0.756 0.541 0.998
Nd 0.756 0.959 0.498
Tl 0.500 0.000 0.000
Tl 0.500 0.500 0.500

Results
The calculation puts the total magnetization at 0.0 μB per formula unit. For the calculated formation energy, the calculation gives -0.01 eV/atom. As for the energy above the lowest structure with this stoichiometry: 13 meV/atom.

=====

Entry 3:
# Pm2Nd6Tl

A relaxed Pm2Nd6Tl crystal (PBE-GGA, Alexandria).

a b c (Å): 8.511 7.271 10.347
angles (deg): 90.00 102.11 90.00
Element x y z (fractional)
Pm 0.044 0.000 0.267
Pm 0.044 0.500 0.767
Pm 0.956 0.000 0.733
Pm 0.956 0.500 0.233
Nd 0.205 0.244 0.035
Nd 0.205 0.256 0.535
Nd 0.205 0.744 0.536
Nd 0.205 0.756 0.036
Nd 0.437 0.502 0.313
Nd 0.437 0.998 0.813
Nd 0.563 0.002 0.187
Nd 0.563 0.498 0.687
Nd 0.795 0.244 0.964
Nd 0.795 0.256 0.464
Nd 0.795 0.744 0.465
Nd 0.795 0.756 0.965
Tl 0.500 0.000 0.500
Tl 0.500 0.500 0.000

Results
The calculation puts the total magnetization at 0.0 μB per formula unit. For the calculated formation energy, the calculation gives 0.05 eV/atom. As for the energy above the lowest structure with this stoichiometry: 31 meV/atom.